A.
# LaWSCl2 PBE optimized geometry
data_LaWSCl2
_space_group_name_H-M_alt 'P 1'
_space_group_IT_number 1
_space_group_name_Hall 'P 1'
_cell_length_a 5.438
_cell_length_b 5.438
_cell_length_c 5.688
_cell_angle_alpha 90.00
_cell_angle_beta 90.00
_cell_angle_gamma 90.00
loop_
_atom_site_label
_atom_site_type_symbol
_atom_site_fract_x
_atom_site_fract_y
_atom_site_fract_z
_atom_site_occupancy
S1 S 0.000 0.000 0.500 1
Cl1 Cl 0.000 0.500 0.000 1
Cl2 Cl 0.500 0.000 0.000 1
W1 W 0.500 0.500 0.500 1
La1 La 0.000 0.000 0.000 1
# SG ... P4/mmm

B.
# LaWSCl2 PBE optimized geometry
data_LaWSCl2
_space_group_name_H-M_alt 'P 1'
_space_group_IT_number 1
_space_group_name_Hall 'P 1'
_cell_length_a 4.830
_cell_length_b 4.830
_cell_length_c 4.677
_cell_angle_alpha 90.00
_cell_angle_beta 90.00
_cell_angle_gamma 90.00
loop_
_atom_site_label
_atom_site_type_symbol
_atom_site_fract_x
_atom_site_fract_y
_atom_site_fract_z
_atom_site_occupancy
S1 S 0.000 0.000 0.500 1
Cl1 Cl 0.000 0.500 0.000 1
Cl2 Cl 0.500 0.000 0.000 1
W1 W 0.000 0.000 0.000 1
La1 La 0.500 0.500 0.500 1
# SG ... P4/mmm

Stability ranking, top entry: B; the second entry is 44.0 kJ/mol of atoms less favorable.

A.
# LaWS2Cl PBE optimized geometry
data_LaWS2Cl
_space_group_name_H-M_alt 'P 1'
_space_group_IT_number 1
_space_group_name_Hall 'P 1'
_cell_length_a 4.702
_cell_length_b 4.702
_cell_length_c 4.853
_cell_angle_alpha 90.00
_cell_angle_beta 90.00
_cell_angle_gamma 90.00
loop_
_atom_site_label
_atom_site_type_symbol
_atom_site_fract_x
_atom_site_fract_y
_atom_site_fract_z
_atom_site_occupancy
S1 S 0.000 0.500 0.000 1
S2 S 0.500 0.000 0.000 1
Cl1 Cl 0.000 0.000 0.500 1
W1 W 0.000 0.000 0.000 1
La1 La 0.500 0.500 0.500 1
# SG ... P4/mmm

B.
# LaWS2Cl PBE optimized geometry
data_LaWS2Cl
_space_group_name_H-M_alt 'P 1'
_space_group_IT_number 1
_space_group_name_Hall 'P 1'
_cell_length_a 5.554
_cell_length_b 5.554
_cell_length_c 5.304
_cell_angle_alpha 90.00
_cell_angle_beta 90.00
_cell_angle_gamma 90.00
loop_
_atom_site_label
_atom_site_type_symbol
_atom_site_fract_x
_atom_site_fract_y
_atom_site_fract_z
_atom_site_occupancy
S1 S 0.000 0.500 0.000 1
S2 S 0.500 0.000 0.000 1
Cl1 Cl 0.000 0.000 0.500 1
W1 W 0.500 0.500 0.500 1
La1 La 0.000 0.000 0.000 1
# SG ... P4/mmm

Stability ranking, top entry: A; the second entry is 105.0 kJ/mol of atoms less favorable.

A.
# LaYSCl2 PBE optimized geometry
data_LaYSCl2
_space_group_name_H-M_alt 'P 1'
_space_group_IT_number 1
_space_group_name_Hall 'P 1'
_cell_length_a 5.145
_cell_length_b 5.145
_cell_length_c 5.265
_cell_angle_alpha 90.00
_cell_angle_beta 90.00
_cell_angle_gamma 90.00
loop_
_atom_site_label
_atom_site_type_symbol
_atom_site_fract_x
_atom_site_fract_y
_atom_site_fract_z
_atom_site_occupancy
Y1 Y 0.000 0.000 0.000 1
S1 S 0.000 0.000 0.500 1
Cl1 Cl 0.000 0.500 0.000 1
Cl2 Cl 0.500 0.000 0.000 1
La1 La 0.500 0.500 0.500 1
# SG ... P4/mmm

B.
# LaYSCl2 PBE optimized geometry
data_LaYSCl2
_space_group_name_H-M_alt 'P 1'
_space_group_IT_number 1
_space_group_name_Hall 'P 1'
_cell_length_a 5.487
_cell_length_b 5.487
_cell_length_c 5.580
_cell_angle_alpha 90.00
_cell_angle_beta 90.00
_cell_angle_gamma 90.00
loop_
_atom_site_label
_atom_site_type_symbol
_atom_site_fract_x
_atom_site_fract_y
_atom_site_fract_z
_atom_site_occupancy
Y1 Y 0.500 0.500 0.500 1
S1 S 0.000 0.000 0.500 1
Cl1 Cl 0.000 0.500 0.000 1
Cl2 Cl 0.500 0.000 0.000 1
La1 La 0.000 0.000 0.000 1
# SG ... P4/mmm

Stability ranking, top entry: A; the second entry is 27.7 kJ/mol of atoms less favorable.

A.
# LaZnSCl2 PBE optimized geometry
data_LaZnSCl2
_space_group_name_H-M_alt 'P 1'
_space_group_IT_number 1
_space_group_name_Hall 'P 1'
_cell_length_a 4.807
_cell_length_b 4.807
_cell_length_c 4.896
_cell_angle_alpha 90.00
_cell_angle_beta 90.00
_cell_angle_gamma 90.00
loop_
_atom_site_label
_atom_site_type_symbol
_atom_site_fract_x
_atom_site_fract_y
_atom_site_fract_z
_atom_site_occupancy
Zn1 Zn 0.000 0.000 0.000 1
Cl1 Cl 0.000 0.500 0.000 1
Cl2 Cl 0.500 0.000 0.000 1
S1 S 0.000 0.000 0.500 1
La1 La 0.500 0.500 0.500 1
# SG ... P4/mmm

B.
# LaZnSCl2 PBE optimized geometry
data_LaZnSCl2
_space_group_name_H-M_alt 'P 1'
_space_group_IT_number 1
_space_group_name_Hall 'P 1'
_cell_length_a 5.530
_cell_length_b 5.530
_cell_length_c 5.693
_cell_angle_alpha 90.00
_cell_angle_beta 90.00
_cell_angle_gamma 90.00
loop_
_atom_site_label
_atom_site_type_symbol
_atom_site_fract_x
_atom_site_fract_y
_atom_site_fract_z
_atom_site_occupancy
Zn1 Zn 0.500 0.500 0.500 1
Cl1 Cl 0.000 0.500 0.000 1
Cl2 Cl 0.500 0.000 0.000 1
S1 S 0.000 0.000 0.500 1
La1 La 0.000 0.000 0.000 1
# SG ... P4/mmm

Stability ranking, top entry: B; the second entry is 3.0 kJ/mol of atoms less favorable.

A.
# LaSb2Cl PBE optimized geometry
data_LaSb2Cl
_space_group_name_H-M_alt 'P 1'
_space_group_IT_number 1
_space_group_name_Hall 'P 1'
_cell_length_a 4.347
_cell_length_b 4.347
_cell_length_c 12.880
_cell_angle_alpha 80.29
_cell_angle_beta 80.29
_cell_angle_gamma 90.00
loop_
_atom_site_label
_atom_site_type_symbol
_atom_site_fract_x
_atom_site_fract_y
_atom_site_fract_z
_atom_site_occupancy
Sb1 Sb 0.654 0.125 0.250 1
Sb2 Sb 0.096 0.625 0.250 1
Sb3 Sb 0.375 0.346 0.750 1
Sb4 Sb 0.875 0.904 0.750 1
Cl1 Cl 0.500 0.500 0.000 1
Cl2 Cl 0.250 0.750 0.500 1
La1 La 0.000 0.000 0.000 1
La2 La 0.750 0.250 0.500 1
# SG ... I-42d

B.
# LaSb2Cl PBE optimized geometry
data_LaSb2Cl
_space_group_name_H-M_alt 'P 1'
_space_group_IT_number 1
_space_group_name_Hall 'P 1'
_cell_length_a 5.625
_cell_length_b 5.625
_cell_length_c 5.625
_cell_angle_alpha 126.15
_cell_angle_beta 126.15
_cell_angle_gamma 79.64
loop_
_atom_site_label
_atom_site_type_symbol
_atom_site_fract_x
_atom_site_fract_y
_atom_site_fract_z
_atom_site_occupancy
Cl1 Cl 0.500 0.500 0.000 1
La1 La 0.750 0.250 0.500 1
Sb1 Sb 0.000 0.000 0.000 1
Sb2 Sb 0.250 0.750 0.500 1
# SG ... I-4m2

C.
# LaSb2Cl PBE optimized geometry
data_LaSb2Cl
_space_group_name_H-M_alt 'P 1'
_space_group_IT_number 1
_space_group_name_Hall 'P 1'
_cell_length_a 4.115
_cell_length_b 5.084
_cell_length_c 7.462
_cell_angle_alpha 94.79
_cell_angle_beta 90.00
_cell_angle_gamma 90.00
loop_
_atom_site_label
_atom_site_type_symbol
_atom_site_fract_x
_atom_site_fract_y
_atom_site_fract_z
_atom_site_occupancy
Cl1 Cl 0.000 0.578 0.561 1
La1 La 0.500 0.601 0.832 1
Sb1 Sb 0.000 0.108 0.924 1
Sb2 Sb 0.500 0.212 0.183 1
# SG ... Pm

D.
# LaSb2Cl PBE optimized geometry
data_LaSb2Cl
_space_group_name_H-M_alt 'P 1'
_space_group_IT_number 1
_space_group_name_Hall 'P 1'
_cell_length_a 3.485
_cell_length_b 3.485
_cell_length_c 9.268
_cell_angle_alpha 90.00
_cell_angle_beta 90.00
_cell_angle_gamma 90.00
loop_
_atom_site_label
_atom_site_type_symbol
_atom_site_fract_x
_atom_site_fract_y
_atom_site_fract_z
_atom_site_occupancy
Cl1 Cl 0.500 0.500 0.250 1
La1 La 0.500 0.500 0.750 1
Sb1 Sb 0.000 0.000 0.006 1
Sb2 Sb 0.000 0.000 0.494 1
# SG ... P4/mmm

Stability ranking, top entry: C; the second entry is 4.2 kJ/mol of atoms less favorable.